Re24W5 (meta-GGA SCAN, PBEsol geometry); ΔE_f = -1.05 eV per formula unit; space-group type = I-43m
1.0
8.2676 0.0000 0.0000
-2.7559 7.7948 0.0000
-2.7559 -3.8974 6.7505
Re W
24 5
Direct
0.6242 0.8174 0.6242
0.8068 0.1826 0.8068
0.1932 0.0000 0.3758
0.3758 0.0000 0.1932
0.8174 0.6242 0.6242
0.1826 0.8068 0.8068
0.0000 0.3758 0.1932
0.0000 0.1932 0.3758
0.6242 0.6242 0.8174
0.8068 0.8068 0.1826
0.3758 0.1932 0.0000
0.1932 0.3758 0.0000
0.5976 0.2828 0.5976
0.3149 0.7172 0.3149
0.6851 0.0000 0.4024
0.4024 0.0000 0.6851
0.2828 0.5976 0.5976
0.7172 0.3149 0.3149
0.0000 0.4024 0.6851
0.0000 0.6851 0.4024
0.5976 0.5976 0.2828
0.3149 0.3149 0.7172
0.4024 0.6851 0.0000
0.6851 0.4024 0.0000
0.3591 0.3591 0.3591
0.0000 0.6409 0.0000
0.0000 0.0000 0.6409
0.6409 0.0000 0.0000
0.0000 0.0000 0.0000